# 1
Computed, not measured: a relaxed Mn2FeRe crystal at the PBE level of DFT.

formation energy: 104 meV per atom
total moment: 5.34 μB per cell

a = 2.559 Å, b = 4.084 Å, c = 4.865 Å
α = 90.00°, β = 101.72°, γ = 90.00°
Space group Pm (No. 6)
Inequivalent atoms, fractional coordinates:
Mn (0.000, 0.000, 0.000)
Mn (0.259, 0.500, 0.754)
Fe (0.492, 0.000, 0.517)
Re (0.747, 0.500, 0.255)

---

# 2
Computed, not measured: a relaxed Zr2MnRe crystal at the PBE level of DFT.

formation energy: 141 meV per atom
total moment: 3.10 μB per cell

a = 5.934 Å, b = 8.683 Å, c = 2.911 Å
α = 90.00°, β = 109.68°, γ = 90.00°
Space group C2/m (No. 12)
Inequivalent atoms, fractional coordinates:
Zr (0.250, 0.250, 0.000)
Mn (0.000, 0.000, 0.500)
Re (0.000, 0.500, 0.500)

---

# 3
Computed, not measured: a relaxed NiSnHPb2 crystal at the PBE level of DFT.

DFT total energy: -3.918 eV per atom
total moment: 0.00 μB per cell

a = 5.585 Å, b = 5.585 Å, c = 3.364 Å
α = 90.00°, β = 90.00°, γ = 90.00°
Space group P4/mmm (No. 123)
Inequivalent atoms, fractional coordinates:
Ni (0.000, 0.000, 0.000)
Sn (0.500, 0.500, 0.500)
H (0.000, 0.000, 0.500)
Pb (0.000, 0.500, 0.000)

---

# 4
Computed, not measured: a relaxed Tb5Nd4Dy crystal at the PBE level of DFT.

formation energy: 223 meV per atom
distance to the lowest polymorph of the same formula: 0.00 eV/f.u.
total moment: 0.00 μB per cell

a = 18.127 Å, b = 3.599 Å, c = 10.928 Å
α = 90.00°, β = 102.53°, γ = 90.00°
Space group C2/m (No. 12)
Inequivalent atoms, fractional coordinates:
Tb (0.000, 0.000, 0.000)
Tb (0.163, 0.500, 0.417)
Tb (0.168, 0.500, 0.025)
Nd (0.021, 0.500, 0.761)
Nd (0.177, 0.000, 0.725)
Dy (0.000, 0.000, 0.500)

---

# 5
Computed, not measured: a relaxed SmInBi crystal at the PBE level of DFT.

formation energy: -331 meV per atom
total moment: 0.00 μB per cell

a = 5.2915 Å, b = 5.2915 Å, c = 3.7312 Å
α = 90.00°, β = 90.00°, γ = 120.00°
Space group P3m1 (No. 156)
Inequivalent atoms, fractional coordinates:
Sm (0.0000, 0.0000, 0.0000)
In (0.3333, 0.6667, 0.4379)
Bi (0.6667, 0.3333, 0.5335)

---

# 6
Computed, not measured: a relaxed LiAg2Pb crystal at the PBE level of DFT.

formation energy: -83 meV per atom
total moment: 0.00 μB per cell

a = 3.471 Å, b = 3.492 Å, c = 6.607 Å
α = 90.00°, β = 90.00°, γ = 90.00°
Space group Pmm2 (No. 25)
Inequivalent atoms, fractional coordinates:
Li (0.000, 0.000, 0.000)
Ag (0.000, 0.000, 0.433)
Ag (0.500, 0.500, 0.203)
Pb (0.500, 0.500, 0.718)

---

Results for DOS at the Fermi energy: 4.1; 5.7; 2.7; 13.9; 1.9; 1.7 (in states/eV/f.u., following the order of the records).